1.
## Sn3Ir (GGA-PBE)

Data for crystalline Sn3Ir at its relaxed geometry.

Calculated values
Total magnetization   0.000 μB per atom
E_tot   -5.19 eV per atom
Excess energy over the best structure of this formula in the dataset   0.45 eV per formula unit
Calculated volume   208.4 Å³/cell
Energy of formation   32 meV per atom

```
Sn3Ir
1.0
3.173 0.000 0.000
0.000 8.835 0.000
0.000 0.000 7.435
Sn Ir
6 2
direct
0.250 0.030 0.188
0.250 0.250 0.625
0.250 0.470 0.188
0.750 0.530 0.812
0.750 0.750 0.375
0.750 0.970 0.812
0.250 0.750 0.673
0.750 0.250 0.327
```

2.
## SnIr (GGA-PBE)

Data for crystalline SnIr at its relaxed geometry.

Calculated values
Total magnetization   0.000 μB per atom
E_tot   -6.22 eV per atom
Calculated volume   39.9 Å³/cell
Energy of formation   210 meV per atom

```
SnIr
1.0
0.000 2.713 2.713
2.713 0.000 2.713
2.713 2.713 0.000
Sn Ir
1 1
direct
0.000 0.000 0.000
0.500 0.500 0.500
```

3.
## Sn3Ir2 (GGA-PBE)

Data for crystalline Sn3Ir2 at its relaxed geometry.

Calculated values
Total magnetization   0.000 μB per atom
E_tot   -6.17 eV per atom
Calculated volume   222.2 Å³/cell
Energy of formation   -223 meV per atom

```
Sn3Ir2
1.0
6.132 0.000 0.000
3.040 5.994 0.000
3.054 1.992 6.046
Sn Ir
6 4
direct
0.092 0.404 0.224
0.280 0.903 0.724
0.396 0.751 0.249
0.604 0.249 0.751
0.720 0.097 0.276
0.908 0.596 0.776
0.160 0.148 0.994
0.304 0.352 0.506
0.696 0.648 0.494
0.840 0.852 0.006
```

4.
## SnIr (GGA-PBE)

Data for crystalline SnIr at its relaxed geometry.

Calculated values
Total magnetization   0.000 μB per atom
E_tot   -6.22 eV per atom
Calculated volume   229.7 Å³/cell
Energy of formation   208 meV per atom

```
SnIr
1.0
-5.270 5.270 2.067
5.270 -5.270 2.067
5.270 5.270 -2.067
Sn Ir
4 4
direct
0.046 0.301 0.347
0.301 0.954 0.254
0.699 0.046 0.746
0.954 0.699 0.653
0.196 0.707 0.903
0.293 0.196 0.489
0.707 0.804 0.511
0.804 0.293 0.097
```

5.
## SnIr (GGA-PBE)

Data for crystalline SnIr at its relaxed geometry.

Calculated values
Total magnetization   0.000 μB per atom
E_tot   -6.14 eV per atom
Calculated volume   96.3 Å³/cell
Energy of formation   289 meV per atom

```
SnIr
1.0
4.571 0.000 0.000
-2.286 3.959 0.000
0.000 0.000 5.319
Sn Ir
2 2
direct
0.333 0.667 0.250
0.667 0.333 0.750
0.333 0.667 0.750
0.667 0.333 0.250
```

6.
## SnIr (GGA-PBE)

Data for crystalline SnIr at its relaxed geometry.

Calculated values
Total magnetization   0.000 μB per atom
E_tot   -5.98 eV per atom
Calculated volume   53.1 Å³/cell
Energy of formation   448 meV per atom

```
SnIr
1.0
0.000 2.983 2.983
2.983 0.000 2.983
2.983 2.983 0.000
Sn Ir
1 1
direct
0.000 0.000 0.000
0.750 0.750 0.750
```

7.
## Sn2Ir (GGA-PBE)

Data for crystalline Sn2Ir at its relaxed geometry.

Calculated values
Total magnetization   0.000 μB per atom
E_tot   -5.91 eV per atom
Calculated volume   66.2 Å³/cell
Energy of formation   -291 meV per atom

```
Sn2Ir
1.0
0.000 3.211 3.211
3.211 0.000 3.211
3.211 3.211 0.000
Sn Ir
2 1
direct
0.250 0.250 0.250
0.750 0.750 0.750
0.000 0.000 0.000
```

8.
## SnIr (GGA-PBE)

Data for crystalline SnIr at its relaxed geometry.

Calculated values
Total magnetization   0.000 μB per atom
E_tot   -6.13 eV per atom
Calculated volume   253.9 Å³/cell
Energy of formation   299 meV per atom

```
SnIr
1.0
-3.989 3.989 3.989
3.989 -3.989 3.989
3.989 3.989 -3.989
Sn Ir
4 4
direct
0.000 0.000 0.607
0.000 0.607 0.000
0.393 0.393 0.393
0.607 0.000 0.000
0.000 0.000 0.242
0.000 0.242 0.000
0.242 0.000 0.000
0.758 0.758 0.758
```

9.
## Sn3Ir (GGA-PBE)

Data for crystalline Sn3Ir at its relaxed geometry.

Calculated values
Total magnetization   0.000 μB per atom
E_tot   -5.20 eV per atom
Excess energy over the best structure of this formula in the dataset   0.37 eV per formula unit
Calculated volume   94.6 Å³/cell
Energy of formation   13 meV per atom

```
Sn3Ir
1.0
-1.672 2.211 6.398
1.672 -2.211 6.398
1.672 2.211 -6.398
Sn Ir
3 1
direct
0.000 0.000 0.000
0.317 0.817 0.500
0.683 0.183 0.500
0.500 0.500 0.000
```

10.
## SrSnIr3 (GGA-PBE)

Data for crystalline SrSnIr3 at its relaxed geometry.

Calculated values
Total magnetization   0.195 μB per atom
E_tot   -4.11 eV per atom
Excess energy over the best structure of this formula in the dataset   7.36 eV per formula unit
Calculated volume   125.1 Å³/cell
Energy of formation   2347 meV per atom

```
SrSnIr3
1.0
5.001 0.000 0.000
0.000 5.001 0.000
0.000 0.000 5.001
Sr Sn Ir
1 1 3
direct
0.000 0.000 0.000
0.500 0.500 0.500
0.000 0.000 0.500
0.000 0.500 0.000
0.500 0.000 0.000
```

11.
## Sr3Sn4Ir4 (GGA-PBE)

Data for crystalline Sr3Sn4Ir4 at its relaxed geometry.

Calculated values
Total magnetization   0.000 μB per atom
E_tot   -5.64 eV per atom
Calculated volume   272.6 Å³/cell
Energy of formation   -508 meV per atom

```
Sr3Sn4Ir4
1.0
-4.085 4.085 4.085
4.085 -4.085 4.085
4.085 4.085 -4.085
Sr Sn Ir
3 4 4
direct
0.000 0.500 0.500
0.500 0.000 0.500
0.500 0.500 0.000
0.000 0.000 0.614
0.000 0.614 0.000
0.386 0.386 0.386
0.614 0.000 0.000
0.000 0.000 0.249
0.000 0.249 0.000
0.249 0.000 0.000
0.751 0.751 0.751
```

12.
## SrSn2Ir (GGA-PBE)

Data for crystalline SrSn2Ir at its relaxed geometry.

Calculated values
Total magnetization   0.000 μB per atom
E_tot   -4.75 eV per atom
Calculated volume   90.5 Å³/cell
Energy of formation   -109 meV per atom

```
SrSn2Ir
1.0
0.000 3.563 3.563
3.563 0.000 3.563
3.563 3.563 0.000
Sr Sn Ir
1 2 1
direct
0.000 0.000 0.000
0.250 0.250 0.250
0.750 0.750 0.750
0.500 0.500 0.500
```